(1)
The following is a DFT calculation (GGA-PBE) of a relaxed structure of YPOsO2.

Distance to the lowest polymorph of the same formula in meV/atom: 1069
Magnetic moment in μB per cell: 4.35
Energy relative to the elements, uncorrected in eV per atom: 0.08

Unit cell a=4.0975 b=4.0975 c=5.9333 alpha=90.00 beta=90.00 gamma=90.00
Last column: nearest neighbours and their distance in Å.
Element x y z (fractional)
Y 0.0000 0.0000 0.0000  4 O 2.05
P 0.0000 0.0000 0.5000  4 Os 2.90, 2 Y 2.97
Os 0.5000 0.5000 0.5000  4 P 2.90
O 0.0000 0.5000 0.0000  2 Y 2.05
O 0.5000 0.0000 0.0000  2 Y 2.05

=====

(2)
The following is a DFT calculation (GGA-PBE) of a relaxed structure of YPOsO2.

Distance to the lowest polymorph of the same formula in meV/atom: 0
Magnetic moment in μB per cell: 0.86
Energy relative to the elements, uncorrected in eV per atom: -0.99

Unit cell a=3.8968 b=3.8968 c=5.1029 alpha=90.00 beta=90.00 gamma=90.00
Last column: nearest neighbours and their distance in Å.
Element x y z (fractional)
Y 0.0000 0.0000 0.0000  4 P 2.76
P 0.5000 0.5000 0.0000  2 Os 2.55, 4 Y 2.76
Os 0.5000 0.5000 0.5000  4 O 1.95
O 0.0000 0.5000 0.5000  2 Os 1.95
O 0.5000 0.0000 0.5000  2 Os 1.95

=====

(3)
The following is a DFT calculation (GGA-PBE) of a relaxed structure of ZnP2OsO.

Distance to the lowest polymorph of the same formula in meV/atom: 866
Magnetic moment in μB per cell: 1.03
Energy relative to the elements, uncorrected in eV per atom: 1.07

Unit cell a=4.7171 b=4.7171 c=3.4235 alpha=90.00 beta=90.00 gamma=90.00
Last column: nearest neighbours and their distance in Å.
Element x y z (fractional)
Zn 0.0000 0.0000 0.0000  2 O 1.71
P 0.0000 0.5000 0.0000  2 Zn 2.36
P 0.5000 0.0000 0.0000  2 Zn 2.36
Os 0.5000 0.5000 0.5000  8 P 2.91
O 0.0000 0.0000 0.5000  2 Zn 1.71

=====

(4)
The following is a DFT calculation (GGA-PBE) of a relaxed structure of ZnP2OsO.

Distance to the lowest polymorph of the same formula in meV/atom: 0
Magnetic moment in μB per cell: 0.00
Energy relative to the elements, uncorrected in eV per atom: 0.21

Unit cell a=4.7894 b=4.7894 c=3.6814 alpha=90.00 beta=90.00 gamma=90.00
Last column: nearest neighbours and their distance in Å.
Element x y z (fractional)
Zn 0.0000 0.0000 0.0000  8 P 3.02
P 0.0000 0.5000 0.5000  2 Os 2.39
P 0.5000 0.0000 0.5000  2 Os 2.39
Os 0.5000 0.5000 0.5000  2 O 1.84
O 0.5000 0.5000 0.0000  2 Os 1.84

=====

(5)
The following is a DFT calculation (GGA-PBE) of a relaxed structure of ZrPOsO2.

Distance to the lowest polymorph of the same formula in meV/atom: 127
Magnetic moment in μB per cell: 3.50
Energy relative to the elements, uncorrected in eV per atom: -0.46

Unit cell a=3.9558 b=3.9558 c=5.6783 alpha=90.00 beta=90.00 gamma=90.00
Last column: nearest neighbours and their distance in Å.
Element x y z (fractional)
Zr 0.0000 0.0000 0.0000  4 O 1.98
P 0.0000 0.0000 0.5000  4 Os 2.80, 2 Zr 2.84
Os 0.5000 0.5000 0.5000  4 P 2.80
O 0.0000 0.5000 0.0000  2 Zr 1.98
O 0.5000 0.0000 0.0000  2 Zr 1.98

=====

(6)
The following is a DFT calculation (GGA-PBE) of a relaxed structure of ZrPOsO2.

Distance to the lowest polymorph of the same formula in meV/atom: 0
Magnetic moment in μB per cell: 0.51
Energy relative to the elements, uncorrected in eV per atom: -0.59

Unit cell a=3.8270 b=3.8270 c=5.0443 alpha=90.00 beta=90.00 gamma=90.00
Last column: nearest neighbours and their distance in Å.
Element x y z (fractional)
Zr 0.0000 0.0000 0.0000  4 P 2.71
P 0.5000 0.5000 0.0000  2 Os 2.52, 4 Zr 2.71
Os 0.5000 0.5000 0.5000  4 O 1.91
O 0.0000 0.5000 0.5000  2 Os 1.91
O 0.5000 0.0000 0.5000  2 Os 1.91

=====

(7)
The following is a DFT calculation (GGA-PBE) of a relaxed structure of PaOs2O8.

Magnetic moment in μB per cell: 0.01
Energy relative to the elements, uncorrected in eV per atom: -1.57

Unit cell a=3.2343 b=5.5415 c=10.2663 alpha=78.59 beta=89.98 gamma=73.12
Last column: nearest neighbours and their distance in Å.
Element x y z (fractional)
Pa 0.0000 0.0000 0.0000  4 O 2.09
Os 0.2579 0.4845 0.3638  3 O 1.78-1.98
Os 0.7421 0.5155 0.6362  3 O 1.78-1.98
O 0.1402 0.7207 0.6543  2 Os 1.98
O 0.1470 0.7067 0.2076  1 Os 1.78
O 0.3280 0.3429 0.5628  3 Os 2.03-2.08
O 0.4011 0.1988 0.0585  2 Pa 2.09
O 0.5989 0.8012 0.9415  2 Pa 2.09
O 0.6720 0.6571 0.4372  3 Os 2.03-2.08
O 0.8530 0.2933 0.7924  1 Os 1.78
O 0.8598 0.2793 0.3457  2 Os 1.98

=====

(8)
The following is a DFT calculation (GGA-PBE) of a relaxed structure of Pa2OsO.

Distance to the lowest polymorph of the same formula in meV/atom: 144
Magnetic moment in μB per cell: 0.00
Energy relative to the elements, uncorrected in eV per atom: -1.07

Unit cell a=3.0719 b=3.0719 c=7.2381 alpha=90.00 beta=90.00 gamma=90.00
Last column: nearest neighbours and their distance in Å.
Element x y z (fractional)
Pa 0.0000 0.0000 0.2260  4 O 2.72, 4 Os 2.94
Pa 0.0000 0.0000 0.7740  4 O 2.72, 4 Os 2.94
Os 0.5000 0.5000 0.5000  8 Pa 2.94, 4 Os 3.07
O 0.5000 0.5000 0.0000  8 Pa 2.72

=====

(9)
The following is a DFT calculation (GGA-PBE) of a relaxed structure of Pa2OsO2.

Magnetic moment in μB per cell: 0.40
Energy relative to the elements, uncorrected in eV per atom: -1.74

Unit cell a=3.5237 b=3.5237 c=6.6639 alpha=90.00 beta=90.00 gamma=90.00
Last column: nearest neighbours and their distance in Å.
Element x y z (fractional)
Pa 0.0000 0.0000 0.2326  4 O 2.35
Pa 0.0000 0.0000 0.7674  4 O 2.35
Os 0.5000 0.5000 0.5000  8 Pa 3.06
O 0.0000 0.5000 0.0000  4 Pa 2.35, 4 O 2.49
O 0.5000 0.0000 0.0000  4 Pa 2.35, 4 O 2.49

=====

(10)
The following is a DFT calculation (GGA-PBE) of a relaxed structure of Pa2OsO.

Distance to the lowest polymorph of the same formula in meV/atom: 0
Magnetic moment in μB per cell: 0.00
Energy relative to the elements, uncorrected in eV per atom: -1.21

Unit cell a=6.7486 b=6.7486 c=6.7486 alpha=31.84 beta=31.84 gamma=31.84
Last column: nearest neighbours and their distance in Å.
Element x y z (fractional)
Pa 0.2400 0.2400 0.2400  3 O 2.56, 3 Os 2.79
Pa 0.7600 0.7600 0.7600  3 O 2.56, 3 Os 2.79
Os 0.0000 0.0000 0.0000  6 Pa 2.79
O 0.5000 0.5000 0.5000  6 Pa 2.56

=====

(11)
The following is a DFT calculation (GGA-PBE) of a relaxed structure of PaOsO.

Magnetic moment in μB per cell: 0.00
Energy relative to the elements, uncorrected in eV per atom: -1.45

Unit cell a=7.7167 b=4.1335 c=6.4505 alpha=90.00 beta=90.00 gamma=90.00
Last column: nearest neighbours and their distance in Å.
Element x y z (fractional)
Pa 0.1773 0.2500 0.1207  3 O 2.28-2.42
Pa 0.3227 0.7500 0.6207  3 O 2.28-2.42
Pa 0.6773 0.2500 0.3793  3 O 2.28-2.42
Pa 0.8227 0.7500 0.8793  3 O 2.28-2.42
Os 0.0321 0.7500 0.4122  2 Os 2.41, 1 Pa 2.61
Os 0.4679 0.2500 0.9122  2 Os 2.41, 1 Pa 2.61
Os 0.5321 0.7500 0.0878  2 Os 2.41, 1 Pa 2.61
Os 0.9679 0.2500 0.5878  2 Os 2.41, 1 Pa 2.61
O 0.1138 0.7500 0.9409  3 Pa 2.28-2.42
O 0.3862 0.2500 0.4409  3 Pa 2.28-2.42
O 0.6138 0.7500 0.5591  3 Pa 2.28-2.42
O 0.8862 0.2500 0.0591  3 Pa 2.28-2.42